Computed, not measured: an optimized crystal structure of BaTl4Br at the PBEsol level of DFT.

a b c (Å): 6.415 6.415 6.415
angles (deg): 60.00 60.00 60.00
Fractional positions:
Ba: 0.750 0.750 0.750
Br: 0.000 0.000 0.000
Tl: 0.375 0.375 0.375
Tl: 0.375 0.375 0.876
Tl: 0.876 0.375 0.375
Tl: 0.375 0.876 0.375

Properties
raw formation energy	-1.87	eV/f.u.
total DFT energy (no corrections)	-2.74	eV per atom
calculated volume	186.66	Å³ per cell
crystal system	cubic